Record 1
The following is a PBE-GGA calculation of a relaxed structure of VI2NCl, from Alexandria via LeMat-Bulk.

Unit cell a=6.404 b=6.404 c=3.406 alpha=90.00 beta=90.00 gamma=90.00
Positions (direct):
N 0.000 0.000 0.500
V 0.500 0.500 0.500
Cl 0.000 0.000 0.000
I 0.000 0.500 0.000
I 0.500 0.000 0.000

Offset from the most stable computed form = 1276 meV/atom
M_tot = 0.8212 μB/atom
SG = No. 123
Energy relative to the elements, uncorrected = 1.4274 eV/atom
Raw total energy = -3.05 eV/atom

Record 2
The following is a PBE-GGA calculation of a relaxed structure of VIN2Cl, from Alexandria via LeMat-Bulk.

Unit cell a=3.904 b=3.904 c=6.281 alpha=90.00 beta=90.00 gamma=90.00
Positions (direct):
N 0.500 0.000 0.000
N 0.000 0.500 0.000
V 0.500 0.500 0.500
I 0.000 0.000 0.500
Cl 0.000 0.000 0.000

Offset from the most stable computed form = 1792 meV/atom
M_tot = 0.4437 μB/atom
SG = No. 123
Energy relative to the elements, uncorrected = 2.3901 eV/atom
Raw total energy = -3.44 eV/atom

Record 3
The following is a PBE-GGA calculation of a relaxed structure of VI2NCl, from Alexandria via LeMat-Bulk.

Unit cell a=5.561 b=5.561 c=3.654 alpha=90.00 beta=90.00 gamma=90.00
Positions (direct):
V 0.000 0.000 0.000
N 0.000 0.000 0.500
Cl 0.500 0.500 0.500
I 0.000 0.500 0.000
I 0.500 0.000 0.000

Offset from the most stable computed form = 0 meV/atom
M_tot = 0.0039 μB/atom
SG = No. 123
Energy relative to the elements, uncorrected = 0.1517 eV/atom
Raw total energy = -4.33 eV/atom

Record 4
The following is a PBE-GGA calculation of a relaxed structure of VIN2Cl, from Alexandria via LeMat-Bulk.

Unit cell a=3.867 b=3.867 c=5.797 alpha=90.00 beta=90.00 gamma=90.00
Positions (direct):
N 0.500 0.000 0.000
N 0.000 0.500 0.000
I 0.000 0.000 0.500
Cl 0.500 0.500 0.500
V 0.000 0.000 0.000

Offset from the most stable computed form = 0 meV/atom
M_tot = 0.0996 μB/atom
SG = No. 123
Energy relative to the elements, uncorrected = 0.5981 eV/atom
Raw total energy = -5.24 eV/atom

Record 5
The following is a PBE-GGA calculation of a relaxed structure of YI2NCl, from Alexandria via LeMat-Bulk.

Unit cell a=6.060 b=6.060 c=4.637 alpha=90.00 beta=90.00 gamma=90.00
Positions (direct):
I 0.500 0.000 0.000
I 0.000 0.500 0.000
Cl 0.500 0.500 0.500
Y 0.000 0.000 0.000
N 0.000 0.000 0.500

Offset from the most stable computed form = 0 meV/atom
M_tot = 0.6105 μB/atom
SG = No. 123
Energy relative to the elements, uncorrected = -0.0463 eV/atom
Raw total energy = -3.99 eV/atom

Record 6
The following is a PBE-GGA calculation of a relaxed structure of YI2NCl, from Alexandria via LeMat-Bulk.

Unit cell a=6.273 b=6.273 c=3.603 alpha=90.00 beta=90.00 gamma=90.00
Positions (direct):
I 0.500 0.000 0.000
I 0.000 0.500 0.000
N 0.000 0.000 0.500
Y 0.500 0.500 0.500
Cl 0.000 0.000 0.000

Offset from the most stable computed form = 689 meV/atom
M_tot = 0.0982 μB/atom
SG = No. 123
Energy relative to the elements, uncorrected = 0.6426 eV/atom
Raw total energy = -3.30 eV/atom

Record 7
The following is a PBE-GGA calculation of a relaxed structure of ZnI2NCl, from Alexandria via LeMat-Bulk.

Unit cell a=6.087 b=6.087 c=3.678 alpha=90.00 beta=90.00 gamma=90.00
Positions (direct):
Cl 0.500 0.500 0.500
N 0.000 0.000 0.500
I 0.500 0.000 0.000
I 0.000 0.500 0.000
Zn 0.000 0.000 0.000

Offset from the most stable computed form = 0 meV/atom
M_tot = 0.5787 μB/atom
SG = No. 123
Energy relative to the elements, uncorrected = 0.7319 eV/atom
Raw total energy = -2.18 eV/atom

Record 8
The following is a PBE-GGA calculation of a relaxed structure of ZnI2NCl, from Alexandria via LeMat-Bulk.

Unit cell a=7.468 b=7.468 c=3.285 alpha=90.00 beta=90.00 gamma=90.00
Positions (direct):
Zn 0.500 0.500 0.500
N 0.000 0.000 0.500
I 0.500 0.000 0.000
I 0.000 0.500 0.000
Cl 0.000 0.000 0.000

Offset from the most stable computed form = 293 meV/atom
M_tot = 0.0000 μB/atom
SG = No. 123
Energy relative to the elements, uncorrected = 1.0249 eV/atom
Raw total energy = -1.88 eV/atom

Record 9
The following is a PBE-GGA calculation of a relaxed structure of NaI2Cl6, from Alexandria via LeMat-Bulk.

Unit cell a=8.387 b=9.183 c=9.183 alpha=100.12 beta=75.38 gamma=75.38
Positions (direct):
Cl 0.312 0.412 0.922
Cl 0.608 0.299 0.491
Cl 0.393 0.084 0.148
Cl 0.392 0.701 0.509
Cl 0.107 0.852 0.916
Cl 0.607 0.916 0.852
Cl 0.893 0.148 0.084
Cl 0.892 0.509 0.701
Cl 0.688 0.588 0.078
Cl 0.812 0.922 0.412
Cl 0.188 0.078 0.588
Cl 0.108 0.491 0.299
Na 0.250 0.108 0.892
Na 0.750 0.892 0.108
I 0.838 0.731 0.573
I 0.338 0.573 0.731
I 0.662 0.427 0.269
I 0.162 0.269 0.427

Offset from the most stable computed form = 0 meV/atom
M_tot = 0.0000 μB/atom
SG = No. 15
Energy relative to the elements, uncorrected = -0.4543 eV/atom
Raw total energy = -2.18 eV/atom

Record 10
The following is a PBE-GGA calculation of a relaxed structure of NaICl4, from Alexandria via LeMat-Bulk.

Unit cell a=8.232 b=8.216 c=8.230 alpha=74.19 beta=74.10 gamma=117.09
Positions (direct):
Cl 0.818 0.382 0.063
Cl 0.555 0.618 0.564
Cl 0.182 0.618 0.937
Cl 0.881 0.945 0.937
Cl 0.445 0.382 0.436
Cl 0.882 0.318 0.564
Cl 0.119 0.055 0.063
Cl 0.118 0.682 0.436
Na 0.875 0.625 0.250
Na 0.125 0.375 0.750
I 0.625 0.873 0.751
I 0.375 0.126 0.249

Offset from the most stable computed form = 190 meV/atom
M_tot = 0.0000 μB/atom
SG = No. 12
Energy relative to the elements, uncorrected = -0.5479 eV/atom
Raw total energy = -2.26 eV/atom

Record 11
The following is a PBE-GGA calculation of a relaxed structure of Na3ICl, from Alexandria via LeMat-Bulk.

Unit cell a=5.547 b=5.547 c=5.547 alpha=90.00 beta=90.00 gamma=90.00
Positions (direct):
I 0.500 0.500 0.500
Cl 0.000 0.000 0.000
Na 0.000 0.000 0.500
Na 0.500 0.000 0.000
Na 0.000 0.500 0.000

Offset from the most stable computed form = 0 meV/atom
M_tot = 0.0000 μB/atom
SG = No. 221
Energy relative to the elements, uncorrected = -0.9892 eV/atom
Raw total energy = -2.46 eV/atom

Record 12
The following is a PBE-GGA calculation of a relaxed structure of NaI2Cl, from Alexandria via LeMat-Bulk.

Unit cell a=5.320 b=5.320 c=13.210 alpha=78.38 beta=78.38 gamma=90.00
Positions (direct):
I 0.281 0.625 0.250
I 0.875 0.719 0.750
I 0.375 0.531 0.750
I 0.469 0.125 0.250
Cl 0.000 0.000 0.000
Cl 0.750 0.250 0.500
Na 0.500 0.500 0.000
Na 0.250 0.750 0.500

Offset from the most stable computed form = 0 meV/atom
M_tot = 0.0000 μB/atom
SG = No. 122
Energy relative to the elements, uncorrected = -0.4762 eV/atom
Raw total energy = -2.04 eV/atom

Record 13
The following is a PBE-GGA calculation of a relaxed structure of Na5I4Cl, from Alexandria via LeMat-Bulk.

Unit cell a=4.534 b=4.534 c=16.207 alpha=98.04 beta=98.04 gamma=90.00
Positions (direct):
Na 0.700 0.700 0.401
Na 0.300 0.300 0.599
Na 0.500 0.500 0.000
Na 0.911 0.911 0.821
Na 0.089 0.089 0.179
I 0.197 0.197 0.395
I 0.403 0.403 0.806
I 0.803 0.803 0.605
I 0.597 0.597 0.194
Cl 0.000 0.000 0.000

M_tot = 0.0000 μB/atom
SG = No. 139
Energy relative to the elements, uncorrected = -1.3449 eV/atom
Raw total energy = -2.81 eV/atom

Record 14
The following is a PBE-GGA calculation of a relaxed structure of Na4ICl2, from Alexandria via LeMat-Bulk.

Unit cell a=5.801 b=5.801 c=8.724 alpha=70.58 beta=70.58 gamma=90.00
Positions (direct):
Cl 0.389 0.389 0.222
Cl 0.611 0.611 0.778
I 0.000 0.000 0.000
Na 0.780 0.780 0.439
Na 0.000 0.500 0.000
Na 0.500 0.000 0.000
Na 0.220 0.220 0.561

M_tot = 0.0000 μB/atom
SG = No. 139
Energy relative to the elements, uncorrected = -1.0738 eV/atom
Raw total energy = -2.58 eV/atom

Record 15
The following is a PBE-GGA calculation of a relaxed structure of NaICl4, from Alexandria via LeMat-Bulk.

Unit cell a=8.230 b=7.712 c=9.168 alpha=100.75 beta=103.27 gamma=121.43
Positions (direct):
I 0.061 0.811 0.622
I 0.939 0.189 0.378
Cl 0.416 0.094 0.830
Cl 0.086 0.264 0.170
Cl 0.309 0.475 0.599
Cl 0.914 0.736 0.830
Cl 0.790 0.123 0.599
Cl 0.584 0.906 0.170
Cl 0.691 0.525 0.401
Cl 0.210 0.877 0.401
Na 0.442 0.692 0.384
Na 0.558 0.308 0.616

Offset from the most stable computed form = 0 meV/atom
M_tot = 0.0000 μB/atom
SG = No. 15
Energy relative to the elements, uncorrected = -0.7377 eV/atom
Raw total energy = -2.45 eV/atom

Record 16
The following is a PBE-GGA calculation of a relaxed structure of NaI3Cl9, from Alexandria via LeMat-Bulk.

Unit cell a=12.363 b=11.149 c=11.775 alpha=68.66 beta=58.34 gamma=56.33
Positions (direct):
I 0.204 0.903 0.703
I 0.884 0.461 0.782
I 0.873 0.961 0.282
I 0.190 0.403 0.203
I 0.588 0.811 0.271
I 0.330 0.311 0.771
Cl 0.937 0.429 0.290
Cl 0.080 0.873 0.617
Cl 0.825 0.749 0.653
Cl 0.089 0.561 0.364
Cl 0.472 0.708 0.533
Cl 0.620 0.962 0.384
Cl 0.703 0.906 0.050
Cl 0.430 0.373 0.117
Cl 0.772 0.249 0.153
Cl 0.583 0.174 0.700
Cl 0.738 0.458 0.705
Cl 0.543 0.674 0.200
Cl 0.341 0.406 0.550
Cl 0.287 0.208 0.033
Cl 0.034 0.462 0.884
Cl 0.986 0.061 0.864
Cl 0.344 0.929 0.790
Cl 0.099 0.958 0.205
Na 0.995 0.263 0.126
Na 0.616 0.763 0.626

M_tot = 0.0782 μB/atom
SG = No. 9
Energy relative to the elements, uncorrected = -0.3749 eV/atom
Raw total energy = -2.11 eV/atom

Record 17
The following is a PBE-GGA calculation of a relaxed structure of NaI2Cl, from Alexandria via LeMat-Bulk.

Unit cell a=5.691 b=5.691 c=5.691 alpha=60.00 beta=60.00 gamma=60.00
Positions (direct):
I 0.250 0.250 0.250
I 0.750 0.750 0.750
Na 0.000 0.000 0.000
Cl 0.500 0.500 0.500

Offset from the most stable computed form = 240 meV/atom
M_tot = 0.5000 μB/atom
SG = No. 225
Energy relative to the elements, uncorrected = -0.2363 eV/atom
Raw total energy = -1.80 eV/atom

Record 18
The following is a PBE-GGA calculation of a relaxed structure of Na3I2Cl, from Alexandria via LeMat-Bulk.

Unit cell a=4.470 b=4.470 c=9.905 alpha=103.04 beta=103.04 gamma=90.00
Positions (direct):
Na 0.150 0.150 0.300
Na 0.850 0.850 0.700
Na 0.500 0.500 0.000
I 0.335 0.335 0.669
I 0.665 0.665 0.331
Cl 0.000 0.000 0.000

Offset from the most stable computed form = 6 meV/atom
M_tot = 0.0000 μB/atom
SG = No. 139
Energy relative to the elements, uncorrected = -1.4068 eV/atom
Raw total energy = -2.89 eV/atom

Record 19
The following is a PBE-GGA calculation of a relaxed structure of Na4I3Cl, from Alexandria via LeMat-Bulk.

Unit cell a=6.449 b=9.162 c=10.470 alpha=90.00 beta=90.00 gamma=90.00
Positions (direct):
Na 0.563 0.679 0.730
Na 0.563 0.126 0.500
Na 0.105 0.823 0.500
Na 0.605 0.177 0.000
Na 0.063 0.321 0.230
Na 0.063 0.874 0.000
Na 0.063 0.321 0.770
Na 0.563 0.679 0.270
I 0.559 0.332 0.744
I 0.059 0.155 0.500
I 0.059 0.668 0.244
I 0.559 0.332 0.256
I 0.559 0.845 0.000
I 0.059 0.668 0.756
Cl 0.044 0.175 0.000
Cl 0.544 0.825 0.500

Offset from the most stable computed form = 14 meV/atom
M_tot = 0.0000 μB/atom
SG = No. 31
Energy relative to the elements, uncorrected = -1.3525 eV/atom
Raw total energy = -2.82 eV/atom

Record 20
The following is a PBE-GGA calculation of a relaxed structure of Na3I2Cl, from Alexandria via LeMat-Bulk.

Unit cell a=4.387 b=6.320 c=7.706 alpha=114.21 beta=106.54 gamma=90.00
Positions (direct):
I 0.169 0.169 0.838
I 0.831 0.831 0.162
Cl 0.500 0.500 0.500
Na 0.144 0.644 0.788
Na 0.500 0.000 0.500
Na 0.856 0.356 0.212

Offset from the most stable computed form = 0 meV/atom
M_tot = 0.0000 μB/atom
SG = No. 71
Energy relative to the elements, uncorrected = -1.4131 eV/atom
Raw total energy = -2.90 eV/atom

Record 21
The following is a PBE-GGA calculation of a relaxed structure of Na3ICl2, from Alexandria via LeMat-Bulk.

Unit cell a=8.867 b=8.042 c=8.042 alpha=53.53 beta=56.54 gamma=56.54
Positions (direct):
I 0.183 0.250 0.250
I 0.817 0.750 0.750
Cl 0.267 0.934 0.934
Cl 0.634 0.566 0.566
Cl 0.733 0.066 0.066
Cl 0.366 0.434 0.434
Na 0.500 0.000 0.500
Na 0.000 0.267 0.733
Na 0.500 0.500 0.000
Na 0.500 0.233 0.767
Na 0.000 0.733 0.267
Na 0.500 0.767 0.233

Offset from the most stable computed form = 0 meV/atom
M_tot = 0.0000 μB/atom
SG = No. 74
Energy relative to the elements, uncorrected = -1.5157 eV/atom
Raw total energy = -3.05 eV/atom

Record 22
The following is a PBE-GGA calculation of a relaxed structure of NaICl5, from Alexandria via LeMat-Bulk.

Unit cell a=8.374 b=8.382 c=10.138 alpha=123.39 beta=123.41 gamma=85.01
Positions (direct):
Na 0.500 0.000 0.000
Na 0.500 0.000 0.500
I 0.880 0.620 0.250
I 0.120 0.380 0.750
Cl 0.799 0.380 0.716
Cl 0.880 0.299 0.216
Cl 0.418 0.373 0.748
Cl 0.582 0.627 0.252
Cl 0.584 0.916 0.750
Cl 0.127 0.082 0.752
Cl 0.201 0.620 0.284
Cl 0.120 0.701 0.784
Cl 0.873 0.918 0.248
Cl 0.416 0.084 0.250

Offset from the most stable computed form = 92 meV/atom
M_tot = 0.0884 μB/atom
SG = No. 2
Energy relative to the elements, uncorrected = -0.5019 eV/atom
Raw total energy = -2.23 eV/atom

Record 23
The following is a PBE-GGA calculation of a relaxed structure of Na2I2Cl7, from Alexandria via LeMat-Bulk.

Unit cell a=7.644 b=7.013 c=7.013 alpha=103.71 beta=94.24 gamma=94.24
Positions (direct):
I 0.016 0.699 0.699
I 0.984 0.301 0.301
Cl 0.694 0.664 0.664
Cl 0.312 0.577 0.901
Cl 0.688 0.423 0.099
Cl 0.688 0.099 0.423
Cl 0.306 0.336 0.336
Cl 0.312 0.901 0.577
Cl 0.000 0.000 0.000
Na 0.500 0.734 0.266
Na 0.500 0.266 0.734

Offset from the most stable computed form = 125 meV/atom
M_tot = 0.0001 μB/atom
SG = No. 12
Energy relative to the elements, uncorrected = -0.5741 eV/atom
Raw total energy = -2.27 eV/atom